Entry from the Alexandria database: a relaxed structure of Ag2Pd3S4 (PBE-GGA).

## Properties
The space group is Fmmm. The raw formation energy comes out at -109 meV per atom. As for the total magnetization: 0.00 μB per cell. As for the crystal system: orthorhombic.

abc: 6.345 6.345 5.989
angles: 101.81 101.81 127.86
Fractional positions:
Ag 0.633 0.633 0.265
Ag 0.367 0.367 0.735
Pd 0.500 0.000 0.000
Pd 0.000 0.000 0.000
Pd 0.000 0.500 0.000
S 0.003 0.700 0.703
S 0.700 0.003 0.703
S 0.997 0.300 0.297
S 0.300 0.997 0.297



Entry from the Alexandria database: a relaxed structure of LaOsRu4 (PBE-GGA).

## Properties
The space group is F-43m. Its formation energy is 475 meV/atom. As for the total magnetization: 0.00 μB per cell. As for the crystal system: cubic.

abc: 5.244 5.244 5.244
angles: 60.00 60.00 60.00
Fractional positions:
La 0.750 0.750 0.750
Os 0.000 0.000 0.000
Ru 0.878 0.374 0.374
Ru 0.374 0.374 0.878
Ru 0.374 0.878 0.374
Ru 0.374 0.374 0.374



Entry from the Alexandria database: a relaxed structure of Cd2FeTe (PBE-GGA).

## Properties
The space group is Cmmm. The raw formation energy comes out at 376 meV per atom. As for the total magnetization: 3.04 μB per cell. As for the crystal system: orthorhombic.

abc: 4.984 4.984 3.925
angles: 90.00 90.00 113.25
Last column: magnetic moment on the atom in μB.
Fractional positions:
Cd 0.000 0.000 0.000  -0.01
Cd 0.500 0.500 0.000  -0.01
Fe 0.500 0.000 0.500  2.90
Te 0.000 0.500 0.500  0.06